This record from Alexandria via LeMat-Bulk describes a relaxed structure of Pm8BiIr2. The functional is GGA-PBE.

The density of states at the Fermi level comes out at 1.142 states/eV per atom. The value obtained for the formation energy is -0.41 eV/atom. For the density, the calculation gives 8.680 g cm⁻³.

It has space group C2/m (No. 12), with a = 8.811 Å, b = 13.637 Å, c = 5.730 Å, α = 90.00°, β = 103.00° and γ = 90.00°. The asymmetric unit holds Pm at (0.000, 0.250, 0.000), Pm at (0.104, 0.000, 0.797), Pm at (0.203, 0.372, 0.576), Bi at (0.000, 0.500, 0.000) and Ir at (0.000, 0.197, 0.500).



This record from Alexandria via LeMat-Bulk describes a relaxed structure of ErNp2TaN4. The functional is GGA-PBE.

The density of states at the Fermi level comes out at 1.493 states/eV per atom. For the density, the calculation gives 13.803 g cm⁻³. Its uncorrected formation energy is -29.4 kcal/mol of atoms.

It has space group P2/m (No. 10), with a = 5.772 Å, b = 3.312 Å, c = 5.843 Å, α = 90.00°, β = 108.94° and γ = 90.00°. The asymmetric unit holds Er at (0.000, 0.000, 0.000), Np at (0.000, 0.500, 0.500), Np at (0.500, 0.000, 0.500), Ta at (0.500, 0.500, 0.000), N at (0.265, 0.500, 0.237) and N at (0.274, 0.000, 0.773).



This record from Alexandria via LeMat-Bulk describes a relaxed structure of Dy14HfTh. The functional is GGA-PBE.

The density of states at the Fermi level comes out at 1.247 states/eV per atom. The value obtained for the formation energy is 0.05 eV/atom. For the density, the calculation gives 9.083 g cm⁻³.

It has space group P4/mmm (No. 123), with a = 7.033 Å, b = 7.033 Å, c = 9.927 Å, α = 90.00°, β = 90.00° and γ = 90.00°. The asymmetric unit holds Dy at (0.000, 0.000, 0.000), Dy at (0.000, 0.500, 0.000), Dy at (0.000, 0.500, 0.500), Dy at (0.246, 0.246, 0.257), Dy at (0.500, 0.500, 0.000), Hf at (0.000, 0.000, 0.500) and Th at (0.500, 0.500, 0.500).



This record from Alexandria via LeMat-Bulk describes a relaxed structure of Sm5Ho2Sc2. The functional is GGA-PBE.

The density of states at the Fermi level comes out at 1.500 states/eV per atom. The value obtained for the formation energy is 0.19 eV/atom. For the density, the calculation gives 6.866 g cm⁻³.

It has space group Ima2 (No. 46), with a = 14.934 Å, b = 12.538 Å, c = 6.053 Å, α = 90.00°, β = 90.00° and γ = 90.00°. The asymmetric unit holds Sm at (0.047, 0.187, 0.000), Sm at (0.144, 0.687, 0.154), Sm at (0.250, 0.174, 0.245), Ho at (0.000, 0.000, 0.556), Ho at (0.250, 0.055, 0.722) and Sc at (0.143, 0.553, 0.650).



This record from Alexandria via LeMat-Bulk describes a relaxed structure of RbScFe3. The functional is GGA-PBE.

The density of states at the Fermi level comes out at 2.115 states/eV per atom. The value obtained for the formation energy is 1.45 eV/atom. For the density, the calculation gives 3.958 g cm⁻³.

It has space group Pm-3m (No. 221), with a = 5.000 Å, b = 5.000 Å, c = 5.000 Å, α = 90.00°, β = 90.00° and γ = 90.00°. The asymmetric unit holds Rb at (0.000, 0.000, 0.000), Sc at (0.500, 0.500, 0.500) and Fe at (0.000, 0.500, 0.500).



This record from Alexandria via LeMat-Bulk describes a relaxed structure of AlFeCl2. The functional is GGA-PBE.

The density of states at the Fermi level comes out at 1.344 states/eV per atom. For the density, the calculation gives 3.329 g cm⁻³. Its uncorrected formation energy is 9.9 kcal/mol of atoms.

It has space group F-43m (No. 216), with a = 6.744 Å, b = 6.744 Å, c = 6.744 Å, α = 90.00°, β = 90.00° and γ = 90.00°. The asymmetric unit holds Al at (0.000, 0.000, 0.000), Fe at (0.250, 0.250, 0.250), Cl at (0.000, 0.000, 0.500) and Cl at (0.250, 0.250, 0.750).



This record from Alexandria via LeMat-Bulk describes a relaxed structure of LaAsO4. The functional is GGA-PBE.

The density of states at the Fermi level comes out at 0.000 states/eV per atom. For the density, the calculation gives 5.367 g cm⁻³. Its uncorrected formation energy is -54.7 kcal/mol of atoms.

It has space group P2_1/c (No. 14), with a = 6.853 Å, b = 7.299 Å, c = 8.513 Å, α = 90.00°, β = 126.15° and γ = 90.00°. The asymmetric unit holds La at (0.188, 0.152, 0.284), As at (0.308, 0.662, 0.196), O at (0.106, 0.659, 0.608), O at (0.173, 0.004, 0.746), O at (0.347, 0.605, 0.020) and O at (0.398, 0.212, 0.118).



This record from Alexandria via LeMat-Bulk describes a relaxed structure of Ca2Ge2Au. The functional is GGA-PBE.

The density of states at the Fermi level comes out at 0.736 states/eV per atom. The value obtained for the formation energy is -0.30 eV/atom. For the density, the calculation gives 5.278 g cm⁻³.

It has space group I4/mmm (No. 139), with a = 5.901 Å, b = 5.901 Å, c = 7.633 Å, α = 90.00°, β = 90.00° and γ = 90.00°. The asymmetric unit holds Ca at (0.000, 0.500, 0.250), Ge at (0.000, 0.000, 0.162) and Au at (0.000, 0.000, 0.500).



This record from Alexandria via LeMat-Bulk describes a relaxed structure of NaNdCdAu. The functional is GGA-PBE.

The density of states at the Fermi level comes out at 0.698 states/eV per atom. The value obtained for the formation energy is -0.36 eV/atom. For the density, the calculation gives 7.969 g cm⁻³.

It has space group F-43m (No. 216), with a = 7.351 Å, b = 7.351 Å, c = 7.351 Å, α = 90.00°, β = 90.00° and γ = 90.00°. The asymmetric unit holds Na at (0.000, 0.000, 0.000), Nd at (0.000, 0.000, 0.500), Cd at (0.250, 0.250, 0.750) and Au at (0.250, 0.250, 0.250).



This record from Alexandria via LeMat-Bulk describes a relaxed structure of PrThCuAg. The functional is GGA-PBE.

The density of states at the Fermi level comes out at 1.086 states/eV per atom. The value obtained for the formation energy is -0.06 eV/atom. For the density, the calculation gives 8.997 g cm⁻³.

It has space group F-43m (No. 216), with a = 7.379 Å, b = 7.379 Å, c = 7.379 Å, α = 90.00°, β = 90.00° and γ = 90.00°. The asymmetric unit holds Pr at (0.000, 0.000, 0.000), Th at (0.000, 0.000, 0.500), Cu at (0.250, 0.250, 0.250) and Ag at (0.250, 0.250, 0.750).



This record from Alexandria via LeMat-Bulk describes a relaxed structure of Ca2Ta. The functional is GGA-PBE.

The density of states at the Fermi level comes out at 0.943 states/eV per atom. The value obtained for the formation energy is 0.46 eV/atom. For the density, the calculation gives 4.715 g cm⁻³.

It has space group C2/m (No. 12), with a = 11.903 Å, b = 3.454 Å, c = 9.548 Å, α = 90.00°, β = 110.46° and γ = 90.00°. The asymmetric unit holds Ca at (0.010, 0.000, 0.188), Ca at (0.166, 0.500, 0.612) and Ta at (0.208, 0.500, 0.072).



This record from Alexandria via LeMat-Bulk describes a relaxed structure of Mg4In7Ag. The functional is GGA-PBE.

The density of states at the Fermi level comes out at 0.386 states/eV per atom. The value obtained for the formation energy is -0.05 eV/atom. For the density, the calculation gives 5.880 g cm⁻³.

It has space group C2/m (No. 12), with a = 10.051 Å, b = 4.640 Å, c = 12.782 Å, α = 90.00°, β = 107.08° and γ = 90.00°. The asymmetric unit holds Mg at (0.150, 0.000, 0.157), Mg at (0.161, 0.000, 0.413), In at (0.000, 0.500, 0.500), In at (0.008, 0.500, 0.759), In at (0.174, 0.000, 0.665), In at (0.178, 0.000, 0.921) and Ag at (0.000, 0.500, 0.000).